1.
This record from Alexandria via LeMat-Bulk describes an optimized crystal structure of Ho4GaTeS2. The functional is PBE.

Properties
- Space-group type: No. 10
- Total DFT energy (no corrections): -5.52 eV/atom
- Raw formation energy: -1.429 eV per atom

abc: 3.959 7.103 7.184
angles: 71.55 90.00 90.00
Fractional positions:
Ho (0.000, 0.772, 0.722)
Ho (0.000, 0.228, 0.278)
Ho (0.500, 0.763, 0.255)
Ho (0.500, 0.237, 0.745)
Ga (0.000, 0.500, 0.500)
Te (0.500, 0.500, 0.000)
S (0.000, 0.000, 0.000)
S (0.500, 0.000, 0.500)



2.
This record from Alexandria via LeMat-Bulk describes an optimized crystal structure of Ho3Tl3GaS8. The functional is PBE.

Properties
- Space-group type: No. 12
- Total DFT energy (no corrections): -4.99 eV/atom
- Raw formation energy: -1.198 eV per atom

abc: 7.874 7.874 8.654
angles: 117.01 90.07 120.00
Fractional positions:
Ho (0.500, 0.000, 0.500)
Ho (0.500, 0.500, 0.500)
Ho (0.000, 0.500, 0.500)
Tl (0.000, 0.000, 0.000)
Tl (0.000, 0.500, 0.000)
Tl (0.500, 0.500, 0.000)
Ga (0.000, 0.000, 0.500)
S (0.266, 0.532, 0.298)
S (0.734, 0.468, 0.702)
S (0.781, 0.562, 0.309)
S (0.219, 0.438, 0.691)
S (0.781, 0.028, 0.309)
S (0.219, 0.972, 0.691)
S (0.248, 0.028, 0.309)
S (0.752, 0.972, 0.691)



3.
This record from Alexandria via LeMat-Bulk describes an optimized crystal structure of Ho8GaSb2. The functional is PBE.

Properties
- Space-group type: No. 12
- Total DFT energy (no corrections): -4.79 eV/atom
- Raw formation energy: -0.435 eV per atom

abc: 4.852 6.937 9.733
angles: 100.40 104.43 90.00
Fractional positions:
Ho (0.407, 0.514, 0.815)
Ho (0.656, 0.023, 0.312)
Ho (0.785, 0.657, 0.570)
Ho (0.985, 0.232, 0.970)
Ho (0.215, 0.343, 0.430)
Ho (0.344, 0.977, 0.688)
Ho (0.593, 0.486, 0.185)
Ho (0.015, 0.768, 0.030)
Ga (0.500, 0.000, 0.000)
Sb (0.819, 0.230, 0.639)
Sb (0.181, 0.770, 0.361)



4.
This record from Alexandria via LeMat-Bulk describes an optimized crystal structure of Ho7Ga2Sb2. The functional is PBE.

Properties
- Space-group type: No. 65
- Total DFT energy (no corrections): -4.53 eV/atom
- Raw formation energy: -0.319 eV per atom

abc: 6.586 7.706 6.586
angles: 90.00 108.74 90.00
Fractional positions:
Ho (0.000, 0.293, 0.500)
Ho (0.500, 0.707, 0.000)
Ho (0.000, 0.707, 0.500)
Ho (0.500, 0.293, 0.000)
Ho (0.000, 0.000, 0.000)
Ho (0.500, 0.717, 0.500)
Ho (0.500, 0.283, 0.500)
Ga (0.831, 0.500, 0.831)
Ga (0.169, 0.500, 0.169)
Sb (0.702, 0.000, 0.298)
Sb (0.298, 0.000, 0.702)



5.
This record from Alexandria via LeMat-Bulk describes an optimized crystal structure of Ho4GaSb2. The functional is PBE.

Properties
- Space-group type: No. 141
- Total DFT energy (no corrections): -4.87 eV/atom
- Raw formation energy: -0.646 eV per atom

abc: 8.164 8.164 8.167
angles: 109.42 109.43 109.54
Fractional positions:
Ho (0.939, 0.243, 0.304)
Ho (0.311, 0.507, 0.196)
Ho (0.939, 0.635, 0.696)
Ho (0.757, 0.061, 0.696)
Ho (0.365, 0.061, 0.304)
Ho (0.311, 0.115, 0.804)
Ho (0.493, 0.689, 0.804)
Ho (0.885, 0.689, 0.196)
Ga (0.250, 0.750, 0.500)
Ga (0.000, 0.000, 0.000)
Sb (0.625, 0.375, 0.750)
Sb (0.625, 0.875, 0.250)
Sb (0.625, 0.375, 0.250)
Sb (0.125, 0.375, 0.750)



6.
This record from Alexandria via LeMat-Bulk describes an optimized crystal structure of HoGaSb. The functional is PBE.

Properties
- Space-group type: No. 129
- Excess energy over the best structure of this formula in the dataset: 0.000 eV per atom
- Total DFT energy (no corrections): -4.51 eV/atom
- Raw formation energy: -0.601 eV per atom

abc: 4.264 4.264 8.836
angles: 90.00 90.00 90.00
Fractional positions:
Ho (0.000, 0.500, 0.706)
Ho (0.500, 0.000, 0.294)
Sb (0.500, 0.000, 0.656)
Sb (0.000, 0.500, 0.344)
Ga (0.000, 0.500, 0.036)
Ga (0.500, 0.000, 0.964)



7.
This record from Alexandria via LeMat-Bulk describes an optimized crystal structure of Ho2GaSb. The functional is PBE.

Properties
- Space-group type: No. 63
- Excess energy over the best structure of this formula in the dataset: 0.000 eV per atom
- Total DFT energy (no corrections): -4.91 eV/atom
- Raw formation energy: -0.834 eV per atom

abc: 4.222 4.377 11.796
angles: 100.69 90.00 90.00
Fractional positions:
Ho (0.750, 0.677, 0.354)
Ho (0.250, 0.323, 0.646)
Ho (0.750, 0.940, 0.880)
Ho (0.250, 0.060, 0.120)
Ga (0.250, 0.464, 0.927)
Ga (0.750, 0.536, 0.073)
Sb (0.250, 0.190, 0.379)
Sb (0.750, 0.810, 0.621)



8.
This record from Alexandria via LeMat-Bulk describes an optimized crystal structure of Ho3Ga12Sb5. The functional is PBE.

Properties
- Space-group type: No. 230
- Total DFT energy (no corrections): -3.47 eV/atom
- Raw formation energy: 0.059 eV per atom

abc: 14.323 14.323 14.323
angles: 109.47 109.47 109.47
Fractional positions:
Ho (0.750, 0.375, 0.125)
Ho (0.875, 0.750, 0.125)
Ho (0.375, 0.750, 0.625)
Ho (0.250, 0.125, 0.375)
Ho (0.875, 0.125, 0.250)
Ho (0.375, 0.625, 0.250)
Ho (0.625, 0.375, 0.750)
Ho (0.125, 0.875, 0.750)
Ho (0.750, 0.875, 0.625)
Ho (0.625, 0.250, 0.375)
Ho (0.125, 0.250, 0.875)
Ho (0.250, 0.625, 0.875)
Sb (0.125, 0.375, 0.250)
Sb (0.000, 0.500, 0.000)
Sb (0.000, 0.000, 0.000)
Sb (0.375, 0.250, 0.125)
Sb (0.500, 0.000, 0.500)
Sb (0.500, 0.500, 0.000)
Sb (0.125, 0.750, 0.375)
Sb (0.750, 0.125, 0.875)
Sb (0.750, 0.625, 0.375)
Sb (0.375, 0.125, 0.750)
Sb (0.625, 0.875, 0.250)
Sb (0.500, 0.500, 0.500)
Sb (0.500, 0.000, 0.000)
Sb (0.000, 0.000, 0.500)
Sb (0.250, 0.375, 0.625)
Sb (0.250, 0.875, 0.125)
Sb (0.000, 0.500, 0.500)
Sb (0.875, 0.250, 0.625)
Sb (0.625, 0.750, 0.875)
Sb (0.875, 0.625, 0.750)
Ga (0.732, 0.110, 0.050)
Ga (0.318, 0.550, 0.440)
Ga (0.950, 0.390, 0.268)
Ga (0.550, 0.232, 0.110)
Ga (0.622, 0.732, 0.682)
Ga (0.950, 0.560, 0.182)
Ga (0.318, 0.768, 0.378)
Ga (0.060, 0.878, 0.110)
Ga (0.560, 0.950, 0.682)
Ga (0.732, 0.622, 0.182)
Ga (0.768, 0.450, 0.390)
Ga (0.818, 0.940, 0.050)
Ga (0.110, 0.732, 0.550)
Ga (0.390, 0.440, 0.122)
Ga (0.122, 0.940, 0.390)
Ga (0.378, 0.110, 0.560)
Ga (0.122, 0.182, 0.232)
Ga (0.450, 0.682, 0.060)
Ga (0.818, 0.878, 0.268)
Ga (0.110, 0.378, 0.060)
Ga (0.390, 0.950, 0.768)
Ga (0.560, 0.610, 0.378)
Ga (0.940, 0.818, 0.550)
Ga (0.768, 0.318, 0.878)
Ga (0.440, 0.390, 0.622)
Ga (0.060, 0.182, 0.450)
Ga (0.232, 0.682, 0.122)
Ga (0.182, 0.122, 0.732)
Ga (0.610, 0.050, 0.232)
Ga (0.890, 0.622, 0.940)
Ga (0.550, 0.318, 0.940)
Ga (0.622, 0.890, 0.440)
Ga (0.878, 0.818, 0.768)
Ga (0.878, 0.060, 0.610)
Ga (0.890, 0.268, 0.450)
Ga (0.182, 0.060, 0.950)
Ga (0.610, 0.560, 0.878)
Ga (0.440, 0.050, 0.318)
Ga (0.268, 0.378, 0.818)
Ga (0.232, 0.550, 0.610)
Ga (0.940, 0.122, 0.890)
Ga (0.682, 0.232, 0.622)
Ga (0.450, 0.768, 0.890)
Ga (0.050, 0.440, 0.818)
Ga (0.378, 0.268, 0.318)
Ga (0.050, 0.610, 0.732)
Ga (0.682, 0.450, 0.560)
Ga (0.268, 0.890, 0.950)